Entry 1:
{"formula": "Tc3WCl", "functional": "PBEsol", "state": "optimized geometry", "raw_formation_energy_mev_per_atom": 1189, "e_tot_ev_per_cell": -43.7, "cell": [[4.2432, 0.0000, 0.0000], [0.0000, 4.2432, 0.0000], [0.0000, 0.0000, 4.2432]], "species": ["Tc", "Tc", "Tc", "W", "Cl"], "frac_coords": [[0.0000, 0.0000, 0.5000], [0.0000, 0.5000, 0.0000], [0.5000, 0.0000, 0.0000], [0.5000, 0.5000, 0.5000], [0.0000, 0.0000, 0.0000]]}

Entry 2:
{"formula": "TcWCl2", "functional": "PBEsol", "state": "optimized geometry", "raw_formation_energy_mev_per_atom": 402, "de_polymorph_mev_per_atom": 0, "e_tot_ev_per_cell": -27.5, "cell": [[2.9494, 0.0000, 0.0000], [0.0000, 3.8370, 0.0000], [0.0000, 0.0000, 5.9054]], "species": ["Tc", "W", "Cl", "Cl"], "frac_coords": [[0.0000, 0.0000, 0.0000], [0.5000, 0.5000, 0.1888], [0.0000, 0.0000, 0.3971], [0.5000, 0.5000, 0.7869]]}

Entry 3:
{"formula": "Tc2WCl", "functional": "PBEsol", "state": "optimized geometry", "raw_formation_energy_mev_per_atom": 271, "de_polymorph_mev_per_atom": 0, "e_tot_ev_per_cell": -111.8, "cell": [[2.8552, 0.0000, 0.0000], [-1.4276, 2.4727, 0.0000], [0.0000, 0.0000, 24.9440]], "species": ["Tc", "Tc", "Tc", "Tc", "Tc", "Tc", "W", "W", "W", "Cl", "Cl", "Cl"], "frac_coords": [[0.0000, 0.0000, 0.2486], [0.0000, 0.0000, 0.7514], [0.3333, 0.6667, 0.4181], [0.3333, 0.6667, 0.9153], [0.6667, 0.3333, 0.0847], [0.6667, 0.3333, 0.5819], [0.0000, 0.0000, 0.0000], [0.3333, 0.6667, 0.6667], [0.6667, 0.3333, 0.3333], [0.0000, 0.0000, 0.5000], [0.3333, 0.6667, 0.1667], [0.6667, 0.3333, 0.8333]]}

Entry 4:
{"formula": "TcWCl", "functional": "PBEsol", "state": "optimized geometry", "raw_formation_energy_mev_per_atom": 797, "de_polymorph_mev_per_atom": 260, "e_tot_ev_per_cell": -49.4, "cell": [[2.8723, 0.0000, 0.0000], [0.0000, 4.0424, 0.0000], [0.0000, 0.0000, 7.6277]], "species": ["Tc", "Tc", "W", "W", "Cl", "Cl"], "frac_coords": [[0.0000, 0.0000, 0.0000], [0.5000, 0.5000, 0.5000], [0.0000, 0.0000, 0.3388], [0.5000, 0.5000, 0.8388], [0.0000, 0.0000, 0.6634], [0.5000, 0.5000, 0.1634]]}

Entry 5:
{"formula": "Tc2WCl", "functional": "PBEsol", "state": "optimized geometry", "raw_formation_energy_mev_per_atom": 442, "de_polymorph_mev_per_atom": 171, "e_tot_ev_per_cell": -73.2, "cell": [[3.0614, 0.0000, 0.0000], [0.0000, 4.7001, 0.0000], [0.0000, 0.0000, 8.4110]], "species": ["Tc", "Tc", "Tc", "Tc", "W", "W", "Cl", "Cl"], "frac_coords": [[0.0000, 0.0000, 0.2443], [0.0000, 0.0000, 0.7557], [0.5000, 0.5000, 0.2443], [0.5000, 0.5000, 0.7557], [0.0000, 0.5000, 0.0000], [0.5000, 0.0000, 0.0000], [0.0000, 0.5000, 0.5000], [0.5000, 0.0000, 0.5000]]}

Entry 6:
{"formula": "TcWCl", "functional": "PBEsol", "state": "optimized geometry", "raw_formation_energy_mev_per_atom": 537, "de_polymorph_mev_per_atom": 0, "e_tot_ev_per_cell": -25.5, "cell": [[4.1429, 0.0000, 0.0000], [-2.0714, 3.5878, 0.0000], [0.0000, 0.0000, 2.9003]], "species": ["Tc", "W", "Cl"], "frac_coords": [[0.0000, 0.0000, 0.0000], [0.6667, 0.3333, 0.5300], [0.3333, 0.6667, 0.7115]]}